A plane-wave DFT calculation with PBE was carried out for a relaxed structure of Pr2TmZr.

CIF file:
```
data_Pr2TmZr
_chemical_formula_sum 'Pr8 Tm4 Zr4'
_cell_length_a 7.857
_cell_length_b 7.857
_cell_length_c 7.857
_cell_angle_alpha 90.00
_cell_angle_beta 90.00
_cell_angle_gamma 90.00
_space_group_name_H-M_alt 'P 1'
_space_group_IT_number 1
_space_group_name_Hall 'P 1'
loop_
_atom_site_label
_atom_site_fract_x
_atom_site_fract_y
_atom_site_fract_z
Pr1 0.250 0.250 0.250
Pr2 0.250 0.250 0.750
Pr3 0.250 0.750 0.250
Pr4 0.250 0.750 0.750
Pr5 0.750 0.250 0.250
Pr6 0.750 0.250 0.750
Pr7 0.750 0.750 0.250
Pr8 0.750 0.750 0.750
Tm1 0.000 0.000 0.000
Tm2 0.000 0.500 0.500
Tm3 0.500 0.000 0.500
Tm4 0.500 0.500 0.000
Zr1 0.000 0.000 0.500
Zr2 0.000 0.500 0.000
Zr3 0.500 0.000 0.000
Zr4 0.500 0.500 0.500
```

Values from the calculation:
Relative energy among the computed polymorphs = 78 meV/atom
Fermi-level density of states = 29.04 states/eV/cell
E = -86.97 eV/cell
M_tot = 2.58 μB/cell
Formation enthalpy at 0 K = 209 meV per atom
Symmetry = Fm-3m, No. 225



A plane-wave DFT calculation with PBE was carried out for a relaxed structure of PmDy9Th2.

CIF file:
```
data_PmDy9Th2
_chemical_formula_sum 'Pm1 Dy9 Th2'
_cell_length_a 11.346
_cell_length_b 11.346
_cell_length_c 3.496
_cell_angle_alpha 90.00
_cell_angle_beta 90.00
_cell_angle_gamma 120.00
_space_group_name_H-M_alt 'P 1'
_space_group_IT_number 1
_space_group_name_Hall 'P 1'
loop_
_atom_site_label
_atom_site_fract_x
_atom_site_fract_y
_atom_site_fract_z
Pm1 0.000 0.000 0.000
Dy1 0.000 0.500 0.000
Dy2 0.175 0.350 0.500
Dy3 0.175 0.825 0.500
Dy4 0.350 0.175 0.500
Dy5 0.500 0.000 0.000
Dy6 0.500 0.500 0.000
Dy7 0.650 0.825 0.500
Dy8 0.825 0.175 0.500
Dy9 0.825 0.650 0.500
Th1 0.333 0.667 0.000
Th2 0.667 0.333 0.000
```

Values from the calculation:
Relative energy among the computed polymorphs = 72 meV/atom
Fermi-level density of states = 21.56 states/eV/cell
E = -59.78 eV/cell
M_tot = 0.00 μB/cell
Formation enthalpy at 0 K = 102 meV per atom
Symmetry = P6/mmm, No. 191



A plane-wave DFT calculation with PBE was carried out for a relaxed structure of Ca4Tl2Bi.

CIF file:
```
data_Ca4Tl2Bi
_chemical_formula_sum 'Ca8 Tl4 Bi2'
_cell_length_a 6.009
_cell_length_b 6.009
_cell_length_c 15.661
_cell_angle_alpha 90.00
_cell_angle_beta 90.00
_cell_angle_gamma 90.00
_space_group_name_H-M_alt 'P 1'
_space_group_IT_number 1
_space_group_name_Hall 'P 1'
loop_
_atom_site_label
_atom_site_fract_x
_atom_site_fract_y
_atom_site_fract_z
Ca1 0.000 0.000 0.198
Ca2 0.000 0.000 0.802
Ca3 0.000 0.500 0.000
Ca4 0.000 0.500 0.500
Ca5 0.500 0.000 0.000
Ca6 0.500 0.000 0.500
Ca7 0.500 0.500 0.302
Ca8 0.500 0.500 0.698
Tl1 0.000 0.000 0.396
Tl2 0.000 0.000 0.604
Tl3 0.500 0.500 0.104
Tl4 0.500 0.500 0.896
Bi1 0.000 0.000 0.000
Bi2 0.500 0.500 0.500
```

Values from the calculation:
Fermi-level density of states = 17.97 states/eV/cell
E = -36.06 eV/cell
M_tot = 0.00 μB/cell
Formation enthalpy at 0 K = -201 meV per atom
Symmetry = I4/mmm, No. 139



A plane-wave DFT calculation with PBE was carried out for a relaxed structure of MgFeBr2.

CIF file:
```
data_MgFeBr2
_chemical_formula_sum 'Mg4 Fe4 Br8'
_cell_length_a 5.940
_cell_length_b 5.940
_cell_length_c 11.884
_cell_angle_alpha 90.00
_cell_angle_beta 90.00
_cell_angle_gamma 90.00
_space_group_name_H-M_alt 'P 1'
_space_group_IT_number 1
_space_group_name_Hall 'P 1'
loop_
_atom_site_label
_atom_site_fract_x
_atom_site_fract_y
_atom_site_fract_z
Mg1 0.000 0.000 0.000
Mg2 0.000 0.500 0.250
Mg3 0.500 0.000 0.750
Mg4 0.500 0.500 0.500
Fe1 0.000 0.000 0.500
Fe2 0.000 0.500 0.750
Fe3 0.500 0.000 0.250
Fe4 0.500 0.500 0.000
Br1 0.218 0.250 0.625
Br2 0.250 0.718 0.875
Br3 0.250 0.782 0.375
Br4 0.282 0.250 0.125
Br5 0.718 0.750 0.125
Br6 0.750 0.218 0.375
Br7 0.750 0.282 0.875
Br8 0.782 0.750 0.625
```

Values from the calculation:
Relative energy among the computed polymorphs = 284 meV/atom
ΔE_f (raw) = -0.009 eV per atom
Fermi-level density of states = 16.62 states/eV/cell
E = -53.75 eV/cell
M_tot = 9.37 μB/cell
Symmetry = I-42d, No. 122



A plane-wave DFT calculation with PBE was carried out for a relaxed structure of Rb5TaO4F2.

CIF file:
```
data_Rb5TaO4F2
_chemical_formula_sum 'Rb5 Ta1 O4 F2'
_cell_length_a 8.064
_cell_length_b 6.320
_cell_length_c 6.320
_cell_angle_alpha 116.46
_cell_angle_beta 90.00
_cell_angle_gamma 90.00
_space_group_name_H-M_alt 'P 1'
_space_group_IT_number 1
_space_group_name_Hall 'P 1'
loop_
_atom_site_label
_atom_site_fract_x
_atom_site_fract_y
_atom_site_fract_z
Rb1 0.000 0.000 0.000
Rb2 0.261 0.305 0.673
Rb3 0.261 0.673 0.305
Rb4 0.739 0.305 0.673
Rb5 0.739 0.673 0.305
Ta1 0.500 0.003 0.003
O1 0.312 0.170 0.170
O2 0.500 0.696 0.980
O3 0.500 0.980 0.696
O4 0.688 0.170 0.170
F1 0.000 0.549 0.964
F2 0.000 0.964 0.549
```

Values from the calculation:
ΔE_f (raw) = -2.362 eV per atom
Fermi-level density of states = 0.00 states/eV/cell
E = -68.61 eV/cell
M_tot = 0.17 μB/cell
Symmetry = Amm2, No. 38



A plane-wave DFT calculation with PBE was carried out for a relaxed structure of Sm9Tl3N2.

CIF file:
```
data_Sm9Tl3N2
_chemical_formula_sum 'Sm9 Tl3 N2'
_cell_length_a 7.038
_cell_length_b 7.038
_cell_length_c 8.620
_cell_angle_alpha 90.00
_cell_angle_beta 90.00
_cell_angle_gamma 120.00
_space_group_name_H-M_alt 'P 1'
_space_group_IT_number 1
_space_group_name_Hall 'P 1'
loop_
_atom_site_label
_atom_site_fract_x
_atom_site_fract_y
_atom_site_fract_z
Sm1 0.000 0.500 0.000
Sm2 0.170 0.341 0.672
Sm3 0.170 0.830 0.672
Sm4 0.341 0.170 0.328
Sm5 0.500 0.000 0.000
Sm6 0.500 0.500 0.000
Sm7 0.659 0.830 0.672
Sm8 0.830 0.170 0.328
Sm9 0.830 0.659 0.328
Tl1 0.000 0.000 0.000
Tl2 0.333 0.667 0.333
Tl3 0.667 0.333 0.667
N1 0.333 0.667 0.832
N2 0.667 0.333 0.168
```

Values from the calculation:
ΔE_f (raw) = -0.652 eV per atom
Fermi-level density of states = 6.79 states/eV/cell
E = -75.35 eV/cell
M_tot = 0.00 μB/cell
Symmetry = P-3m1, No. 164



A plane-wave DFT calculation with PBE was carried out for a relaxed structure of BeRhBr.

CIF file:
```
data_BeRhBr
_chemical_formula_sum 'Be2 Rh2 Br2'
_cell_length_a 3.509
_cell_length_b 4.199
_cell_length_c 8.681
_cell_angle_alpha 79.37
_cell_angle_beta 78.48
_cell_angle_gamma 90.00
_space_group_name_H-M_alt 'P 1'
_space_group_IT_number 1
_space_group_name_Hall 'P 1'
loop_
_atom_site_label
_atom_site_fract_x
_atom_site_fract_y
_atom_site_fract_z
Be1 0.000 0.000 0.000
Be2 0.480 0.272 0.040
Rh1 0.040 0.532 0.918
Rh2 0.428 0.728 0.145
Br1 0.137 0.141 0.719
Br2 0.830 0.800 0.343
```

Values from the calculation:
Relative energy among the computed polymorphs = 179 meV/atom
ΔE_f (raw) = -0.250 eV per atom
Fermi-level density of states = 0.00 states/eV/cell
E = -27.00 eV/cell
M_tot = 0.00 μB/cell
Symmetry = P1, No. 1



A plane-wave DFT calculation with PBE was carried out for a relaxed structure of Pm3ScS4.

CIF file:
```
data_Pm3ScS4
_chemical_formula_sum 'Pm3 Sc1 S4'
_cell_length_a 13.214
_cell_length_b 13.214
_cell_length_c 13.214
_cell_angle_alpha 17.12
_cell_angle_beta 17.12
_cell_angle_gamma 17.12
_space_group_name_H-M_alt 'P 1'
_space_group_IT_number 1
_space_group_name_Hall 'P 1'
loop_
_atom_site_label
_atom_site_fract_x
_atom_site_fract_y
_atom_site_fract_z
Pm1 0.000 0.000 0.000
Pm2 0.247 0.247 0.247
Pm3 0.753 0.753 0.753
Sc1 0.500 0.500 0.500
S1 0.131 0.131 0.131
S2 0.377 0.377 0.377
S3 0.623 0.623 0.623
S4 0.869 0.869 0.869
```

Values from the calculation:
Relative energy among the computed polymorphs = 0 meV/atom
ΔE_f (raw) = -1.974 eV per atom
Fermi-level density of states = 3.83 states/eV/cell
E = -52.89 eV/cell
M_tot = 0.00 μB/cell
Symmetry = R-3m, No. 166



A plane-wave DFT calculation with PBE was carried out for a relaxed structure of KCe2I7.

CIF file:
```
data_KCe2I7
_chemical_formula_sum 'K1 Ce2 I7'
_cell_length_a 9.361
_cell_length_b 9.361
_cell_length_c 6.199
_cell_angle_alpha 90.00
_cell_angle_beta 90.00
_cell_angle_gamma 115.43
_space_group_name_H-M_alt 'P 1'
_space_group_IT_number 1
_space_group_name_Hall 'P 1'
loop_
_atom_site_label
_atom_site_fract_x
_atom_site_fract_y
_atom_site_fract_z
K1 0.000 0.000 0.000
Ce1 0.301 0.699 0.500
Ce2 0.699 0.301 0.500
I1 0.052 0.322 0.500
I2 0.291 0.709 0.000
I3 0.322 0.052 0.500
I4 0.500 0.500 0.500
I5 0.678 0.948 0.500
I6 0.709 0.291 0.000
I7 0.948 0.678 0.500
```

Values from the calculation:
ΔE_f (raw) = -1.313 eV per atom
Fermi-level density of states = 12.47 states/eV/cell
E = -36.95 eV/cell
M_tot = 2.00 μB/cell
Symmetry = Cmmm, No. 65



A plane-wave DFT calculation with PBE was carried out for a relaxed structure of Tl2Ni2Bi.

CIF file:
```
data_Tl2Ni2Bi
_chemical_formula_sum 'Tl4 Ni4 Bi2'
_cell_length_a 7.399
_cell_length_b 7.399
_cell_length_c 3.740
_cell_angle_alpha 90.00
_cell_angle_beta 90.00
_cell_angle_gamma 90.00
_space_group_name_H-M_alt 'P 1'
_space_group_IT_number 1
_space_group_name_Hall 'P 1'
loop_
_atom_site_label
_atom_site_fract_x
_atom_site_fract_y
_atom_site_fract_z
Tl1 0.163 0.337 0.000
Tl2 0.337 0.837 0.000
Tl3 0.663 0.163 0.000
Tl4 0.837 0.663 0.000
Ni1 0.126 0.626 0.500
Ni2 0.374 0.126 0.500
Ni3 0.626 0.874 0.500
Ni4 0.874 0.374 0.500
Bi1 0.000 0.000 0.500
Bi2 0.500 0.500 0.500
```

Values from the calculation:
Relative energy among the computed polymorphs = 0 meV/atom
Fermi-level density of states = 7.79 states/eV/cell
E = -37.50 eV/cell
M_tot = 0.00 μB/cell
Formation enthalpy at 0 K = 285 meV per atom
Symmetry = P4/mbm, No. 127